A plane-wave DFT calculation with GGA-PBE was carried out for a relaxed structure of Li2Y.

Crystal system ... cubic
Theoretical density ... 1.85 g/cm³
E above lowest polymorph ... 652 meV/atom
VASP energy ... -2.67 eV/atom
Total moment ... 0.0 μB/f.u.
DFT formation energy ... 0.76 eV/atom

Cell lengths 5.0712, 5.0712, 5.0712 Å; angles 60.00, 60.00, 60.00 degrees
Closest atoms and distances in Å follow each position.
Fractional coordinates of all 3 atoms:
Li 0.7500 0.7500 0.7500  4 Y 3.11
Li 0.2500 0.2500 0.2500  4 Y 3.11
Y 0.0000 0.0000 0.0000  8 Li 3.11